HfS2Cl | PBE-GGA | relaxed

The structure in POSCAR format:
```
HfS2Cl
1.0
1.8221 1.0520 7.7869
-1.8221 1.0520 7.7869
0.0000 -2.1039 7.7869
Hf S Cl
1 2 1
direct
0.0000 0.0000 0.0000
0.3952 0.3952 0.3952
0.6048 0.6048 0.6048
0.5000 0.5000 0.5000
```

Values from the calculation:
Space-group type ... No. 166

=====

HfTeCN2 | PBE-GGA | relaxed

The structure in POSCAR format:
```
HfTeCN2
1.0
3.9805 0.0000 0.0000
0.0000 3.9805 0.0000
0.0000 0.0000 6.2579
Hf Te C N
1 1 1 2
direct
0.0000 0.0000 0.0000
0.0000 0.0000 0.5000
0.5000 0.5000 0.5000
0.0000 0.5000 0.0000
0.5000 0.0000 0.0000
```

Values from the calculation:
Space-group type ... No. 123

=====

These records have energy relative to the elements, uncorrected values of -389, 726 kJ/mol of formula units, in the order they appear.
These records have ΔE to the lowest computed polymorph values of 0.0000, 0.0000 eV per atom, in the order they appear.